# 1
Computed, not measured: a relaxed AgAs2 crystal at the GGA-PBEsol level of DFT.

Properties
Energy of formation from the pure elements, eV per atom: 0.253
Theoretical density, g/cm3: 7.63
Size of the total moment, Bohr magnetons per cell: 0.00
Total energy, eV per cell: -12.8

Cell: 7.639 7.639 7.639 Å, 159.22 159.22 29.55°
Sites, in units of the cell vectors:
Ag 0.000 0.000 0.000
As 0.350 0.350 0.000
As 0.650 0.650 0.000

---

# 2
Computed, not measured: a relaxed AsWSe2 crystal at the GGA-PBEsol level of DFT.

Properties
Theoretical density, g/cm3: 9.19
Size of the total moment, Bohr magnetons per cell: 0.00
ΔE_f (raw), meV per atom: 328.2
Total energy, eV per cell: -25.3

Cell: 2.833 2.833 9.986 Å, 90.00 90.00 110.04°
Sites, in units of the cell vectors:
As 0.000 0.000 0.000
W 0.500 0.500 0.794
Se 0.000 0.000 0.591
Se 0.500 0.500 0.293

---

# 3
Computed, not measured: a relaxed PPtSe2 crystal at the GGA-PBEsol level of DFT.

Properties
Theoretical density, g/cm3: 8.11
Size of the total moment, Bohr magnetons per cell: 0.00
ΔE_f (raw), meV per atom: 49.1
Total energy, eV per cell: -20.3

Cell: 6.104 6.104 6.104 Å, 145.41 142.24 52.13°
Sites, in units of the cell vectors:
P 0.000 0.000 0.000
Pt 0.500 0.500 0.000
Se 0.339 0.839 0.500
Se 0.661 0.161 0.500

---

# 4
Computed, not measured: a relaxed AlCoAg2 crystal at the GGA-PBEsol level of DFT.

Properties
Energy of formation from the pure elements, eV per atom: 0.115
Theoretical density, g/cm3: 8.72
Size of the total moment, Bohr magnetons per cell: 1.09
Total energy, eV per cell: -18.0

Cell: 4.727 4.727 4.727 Å, 131.82 131.82 70.52°
Sites, in units of the cell vectors:
Al 0.000 0.000 0.000
Co 0.500 0.500 0.000
Ag 0.250 0.750 0.500
Ag 0.750 0.250 0.500